{
  "formula": "KNiAuF6",
  "functional": "PBE+U",
  "state": "relaxed",
  "lattice_angstrom": [[2.9807, -4.6602, 0.0000], [2.9807, 4.6602, 0.0000], [-0.3205, 0.0000, 5.7113]],
  "species": ["K", "Ni", "Au", "F", "F", "F", "F", "F", "F"],
  "fractional_positions": [[0.0000, 0.0000, 0.0000], [0.3203, 0.6797, 0.5000], [0.6642, 0.3358, 0.5000], [0.0626, 0.6608, 0.2642], [0.3392, 0.9374, 0.7358], [0.3562, 0.3503, 0.3220], [0.6332, 0.0026, 0.3301], [0.6497, 0.6438, 0.6780], [0.9974, 0.3668, 0.6699]],
  "e_tot_ev_per_cell": -34.20
}